! RbSrHgI5, optimized geometry, DFT PBE; values from VASP
&SYSTEM
  ibrav = 0, nat = 16, ntyp = 4
/
ATOMIC_SPECIES
Sr 87.62 Sr.upf
Rb 85.47 Rb.upf
Hg 200.59 Hg.upf
I 126.90 I.upf
ATOMIC_POSITIONS crystal
Sr 0.000 0.000 0.500
Sr 0.000 0.000 0.000
Rb 0.651 0.349 0.750
Rb 0.349 0.651 0.250
Hg 0.318 0.682 0.750
Hg 0.682 0.318 0.250
I 0.262 0.380 0.553
I 0.089 0.662 0.882
I 0.911 0.338 0.118
I 0.909 0.091 0.750
I 0.738 0.620 0.447
I 0.380 0.262 0.053
I 0.662 0.089 0.382
I 0.620 0.738 0.947
I 0.091 0.909 0.250
I 0.338 0.911 0.618
CELL_PARAMETERS angstrom
-4.421 -3.658 6.774
-5.398 -0.781 -7.005
8.794 -7.483 -2.186
! N(E_F) in states/eV/f.u.: 0.00
! Calculated volume in Å³ per cell: 812.87
! ΔE_f (raw) in eV/atom: -1.11